[1]
DFT (PBE) results for a geometry-optimized KTl2H structure.

Properties
- Calculated density: 6.40 g/cm³
- Calculated total energy: -0.06669 hartree per atom
- Polymorph energy (0 for the lowest one): 316 meV/atom

abc: 7.752 7.752 7.752
angles: 90.00 90.00 90.00
Space group Fm-3m (No. 225)
Unique sites:
K 0.000 0.000 0.000
Tl 0.250 0.250 0.250
H 0.000 0.000 0.500



[2]
DFT (PBE) results for a geometry-optimized CaZnSi2 structure.

Properties
- Calculated density: 2.98 g/cm³
- Calculated total energy: -0.12970 hartree per atom

abc: 4.650 4.650 16.679
angles: 90.00 90.00 90.00
Space group I-42d (No. 122)
Unique sites:
Ca 0.000 0.000 0.000
Zn 0.000 0.000 0.500
Si 0.112 0.250 0.625



[3]
DFT (PBE) results for a geometry-optimized In2SnW structure.

Properties
- Calculated density: 9.69 g/cm³
- Calculated total energy: -0.17716 hartree per atom
- Energy of formation from the pure elements: 0.79 eV/atom

abc: 4.102 4.102 21.673
angles: 90.00 90.00 90.00
Space group I-42d (No. 122)
Unique sites:
In 0.237 0.250 0.125
Sn 0.000 0.000 0.500
W 0.000 0.000 0.000



Number 1: V 29.12 A^3/atom. Number 2: V 22.54 A^3/atom. Number 3: V 22.80 A^3/atom.